Record 1
The following is a PBE-GGA calculation of a geometry-optimized Ac4Mg2Hg structure, from the Alexandria database.

```
Ac4Mg2Hg
1.0
6.6356 0.0241 -2.3204
-3.3005 5.7285 -2.3888
0.0139 -0.0241 7.0296
Ac Mg Hg
4 2 1
Direct
0.5000 0.0000 0.0000
0.0000 0.0000 0.5000
0.5000 0.5000 0.5000
0.0000 0.5000 0.0000
0.5000 0.5000 0.0000
0.5000 0.0000 0.5000
0.0000 0.0000 0.0000
```

Values from the calculation:
The energy of formation is -0.067 eV/atom. The value obtained for the total magnetization is 0.0 μB/f.u.



Record 2
The following is a PBE-GGA calculation of a geometry-optimized PaSeSBr structure, from the Alexandria database.

```
PaSeSBr
1.0
4.4212 0.0069 -0.5740
-2.1787 3.8471 0.5740
-3.4185 -0.5903 7.9740
S Br Se Pa
1 1 1 1
Direct
0.6115 0.5346 0.1460
0.2203 0.2029 0.4233
0.0027 0.8662 0.8689
0.8576 0.2007 0.0583
```

Values from the calculation:
The electronic total energy is -0.4443 Ry per atom. The value obtained for the total magnetization is 0.0 μB/f.u.



Record 3
The following is a PBE-GGA calculation of a geometry-optimized Th4Bi5Se structure, from the Alexandria database.

```
Th4Bi5Se
1.0
-4.3557 1.1513 0.2609
-2.0434 -6.6895 -4.5945
0.8402 -7.1318 6.4677
Se Th Bi
1 4 5
Direct
0.5000 0.0000 0.0000
0.6492 0.0731 0.2984
0.3508 0.9269 0.7016
0.9640 0.2386 0.9280
0.0360 0.7614 0.0720
0.2023 0.7888 0.4047
0.1337 0.3709 0.2674
0.5000 0.5000 0.0000
0.8663 0.6291 0.7326
0.7977 0.2112 0.5953
```

Values from the calculation:
The electronic total energy is -0.4267 Ry per atom. The value obtained for the total magnetization is 0.0 μB/f.u.